(1)
Computed, not measured: a relaxed structure of MgScVBi2 at the GGA-PBE level of DFT.

M_tot (μB per formula unit): 0.000
DFT formation energy (eV per atom): 0.3357
Crystal system: tetragonal
Total DFT energy (no corrections) (eV for the cell shown): -23.13

a = 5.319 Å, b = 5.319 Å, c = 4.880 Å
α = 90.00°, β = 90.00°, γ = 90.00°
Element x y z (fractional)
Mg: 0.000 0.000 0.000
Sc: 0.500 0.500 0.000
V: 0.500 0.500 0.500
Bi: 0.000 0.500 0.500
Bi: 0.500 0.000 0.500

***

(2)
Computed, not measured: a relaxed structure of NbPPd at the GGA-PBE level of DFT.

M_tot (μB per formula unit): 0.000
DFT formation energy (eV per atom): -0.3802
Crystal system: orthorhombic
Total DFT energy (no corrections) (eV for the cell shown): -21.81

a = 3.029 Å, b = 4.702 Å, c = 4.702 Å
α = 45.96°, β = 90.00°, γ = 90.00°
Element x y z (fractional)
Nb: 0.000 0.000 0.000
P: 0.000 0.707 0.707
Pd: 0.500 0.293 0.293

***

(3)
Computed, not measured: a relaxed structure of AcDy5Ho4 at the GGA-PBE level of DFT.

M_tot (μB per formula unit): 0.001
DFT formation energy (eV per atom): 0.2143
Crystal system: monoclinic
Total DFT energy (no corrections) (eV for the cell shown): -43.29

a = 8.800 Å, b = 8.800 Å, c = 10.998 Å
α = 90.51°, β = 90.51°, γ = 23.48°
Element x y z (fractional)
Ac: 0.000 0.000 0.000
Dy: 0.000 0.000 0.500
Dy: 0.323 0.323 0.059
Dy: 0.327 0.327 0.451
Dy: 0.673 0.673 0.549
Dy: 0.677 0.677 0.941
Ho: 0.151 0.151 0.250
Ho: 0.474 0.474 0.258
Ho: 0.526 0.526 0.742
Ho: 0.849 0.849 0.750

***

(4)
Computed, not measured: a relaxed structure of Sm2Ga3CuAu4 at the GGA-PBE level of DFT.

M_tot (μB per formula unit): 0.000
DFT formation energy (eV per atom): -0.5553
Crystal system: tetragonal
Total DFT energy (no corrections) (eV for the cell shown): -41.28

a = 4.407 Å, b = 4.407 Å, c = 10.470 Å
α = 90.00°, β = 90.00°, γ = 90.00°
Element x y z (fractional)
Sm: 0.000 0.500 0.243
Sm: 0.500 0.000 0.757
Ga: 0.000 0.000 0.000
Ga: 0.000 0.500 0.634
Ga: 0.500 0.000 0.366
Cu: 0.500 0.500 0.000
Au: 0.000 0.000 0.500
Au: 0.000 0.500 0.871
Au: 0.500 0.000 0.129
Au: 0.500 0.500 0.500

***

(5)
Computed, not measured: a relaxed structure of Te2RuPb at the GGA-PBE level of DFT.

M_tot (μB per formula unit): 0.369
Crystal system: tetragonal
Total DFT energy (no corrections) (eV for the cell shown): -19.00
Raw formation energy (eV per atom): 0.07

a = 3.270 Å, b = 3.270 Å, c = 9.658 Å
α = 90.00°, β = 90.00°, γ = 90.00°
Element x y z (fractional)
Te: 0.000 0.000 0.000
Te: 0.500 0.500 0.346
Ru: 0.500 0.500 0.856
Pb: 0.000 0.000 0.639

***

(6)
Computed, not measured: a relaxed structure of Ba2PdPbI at the GGA-PBE level of DFT.

M_tot (μB per formula unit): 0.000
Crystal system: tetragonal
Total DFT energy (no corrections) (eV for the cell shown): -18.01
Raw formation energy (eV per atom): -0.74

a = 6.389 Å, b = 6.389 Å, c = 5.141 Å
α = 90.00°, β = 90.00°, γ = 90.00°
Element x y z (fractional)
Ba: 0.000 0.500 0.000
Ba: 0.500 0.000 0.000
Pd: 0.000 0.000 0.000
Pb: 0.000 0.000 0.500
I: 0.500 0.500 0.500